The following is a DFT calculation (PBE) of an optimized crystal structure of PuBi2.

```
PuBi2
1.0
-0.7596 4.7639 4.3856
-5.1881 3.9348 -0.3268
-4.7031 -0.4266 4.4949
Bi Pu
4 2
Cartesian
-4.0627 3.2027 5.5095
-6.2770 2.7881 3.1533
-6.6567 5.1701 5.3461
-4.3052 5.3834 3.0987
-2.6627 2.0680 2.1384
0.0000 0.0000 0.0000
```

Computed properties:
Its density of states at the Fermi level is 13.83 states/eV/f.u. The calculated formation energy is 45 meV/atom.